Sc2CrP: optimized geometry, PBE-GGA.

```
Sc2CrP
1.0
3.678 0.000 0.000
0.000 3.678 0.000
0.000 0.000 5.528
P Sc Cr
1 2 1
direct
0.500 0.500 0.783 P
0.500 0.500 0.281 Sc
0.000 0.000 0.958 Sc
0.000 0.000 0.478 Cr
```

Energy: -7.1556 eV/atom



La7Rh: optimized geometry, PBE-GGA.

```
La7Rh
1.0
-6.102 1.217 3.431
-3.542 6.062 -1.093
-6.151 -0.071 -3.557
La Rh
7 1
direct
0.000 0.500 0.500 La
0.500 0.000 0.500 La
0.500 0.000 0.000 La
0.000 0.500 0.000 La
0.500 0.500 0.500 La
0.500 0.500 0.000 La
0.000 0.000 0.500 La
0.000 0.000 0.000 Rh
```

Energy: -5.1794 eV/atom



Pm3DyHo2Se6: optimized geometry, PBE-GGA.

```
Pm3DyHo2Se6
1.0
4.096 0.000 0.000
0.000 8.336 0.213
-2.048 -2.491 8.687
Se Ho Dy Pm
6 2 1 3
direct
0.336 0.908 0.671 Se
0.997 0.756 0.994 Se
0.330 0.424 0.660 Se
0.670 0.576 0.340 Se
0.003 0.244 0.006 Se
0.664 0.092 0.329 Se
0.166 0.333 0.333 Ho
0.834 0.667 0.667 Ho
0.500 0.000 0.000 Dy
0.834 0.167 0.668 Pm
0.166 0.833 0.332 Pm
0.500 0.500 0.000 Pm
```

Energy: -5.8637 eV/atom
Energy relative to the elements, uncorrected: -1787 meV per atom